The following is a PBE-GGA calculation of a relaxed structure of NpBiCl6, from Alexandria via LeMat-Bulk.

a = 6.7421 Å, b = 6.7421 Å, c = 12.7934 Å
α = 90.00°, β = 90.00°, γ = 120.00°
Element x y z (fractional)
Np  0.0000  0.0000  0.0000
Np  0.0000  0.0000  0.5000
Bi  0.3333  0.6667  0.2500
Bi  0.6667  0.3333  0.7500
Cl  0.0038  0.3309  0.1252
Cl  0.0038  0.6729  0.3748
Cl  0.3271  0.3309  0.3748
Cl  0.3271  0.9962  0.1252
Cl  0.3309  0.0038  0.6252
Cl  0.3309  0.3271  0.8748
Cl  0.6691  0.6729  0.1252
Cl  0.6691  0.9962  0.3748
Cl  0.6729  0.0038  0.8748
Cl  0.6729  0.6691  0.6252
Cl  0.9962  0.3271  0.6252
Cl  0.9962  0.6691  0.8748

Calculated values
D(E_F)   0.62 states/eV/atom
Formation energy (no corrections)   -1324 meV per atom

The following is a PBE-GGA calculation of a relaxed structure of Co2SiHg, from Alexandria via LeMat-Bulk.

a = 3.7322 Å, b = 3.7322 Å, c = 5.9809 Å
α = 91.50°, β = 91.50°, γ = 44.20°
Element x y z (fractional)
Co  0.2037  0.2037  0.3228
Co  0.7963  0.7963  0.6772
Si  0.5000  0.5000  0.5000
Hg  0.5000  0.5000  0.0000

Calculated values
E above lowest polymorph   0.172 eV per atom
D(E_F)   0.82 states/eV/atom
Formation energy (no corrections)   74 meV per atom

The following is a PBE-GGA calculation of a relaxed structure of La4Tb4Nd, from Alexandria via LeMat-Bulk.

a = 8.1701 Å, b = 8.1701 Å, c = 8.1701 Å
α = 95.79°, β = 95.79°, γ = 142.97°
Element x y z (fractional)
La  0.0000  0.3312  0.3312
La  0.0000  0.6688  0.6688
La  0.3312  0.0000  0.3312
La  0.6688  0.0000  0.6688
Tb  0.3346  0.3346  0.6693
Tb  0.3346  0.6654  0.0000
Tb  0.6654  0.3346  0.0000
Tb  0.6654  0.6654  0.3307
Nd  0.0000  0.0000  0.0000

Calculated values
D(E_F)   1.70 states/eV/atom
E   -4.754 eV/atom

The following is a PBE-GGA calculation of a relaxed structure of Pr2Tm2Pb, from Alexandria via LeMat-Bulk.

a = 11.9657 Å, b = 6.4384 Å, c = 8.8307 Å
α = 90.00°, β = 104.44°, γ = 90.00°
Element x y z (fractional)
Pr  0.1430  0.0994  0.0707
Pr  0.1430  0.4006  0.5707
Pr  0.2781  0.5954  0.9636
Pr  0.2781  0.9046  0.4636
Pr  0.7219  0.0954  0.5364
Pr  0.7219  0.4046  0.0364
Pr  0.8570  0.5994  0.4293
Pr  0.8570  0.9006  0.9293
Tm  0.0472  0.5859  0.1852
Tm  0.0472  0.9141  0.6852
Tm  0.4696  0.1673  0.1688
Tm  0.4696  0.3327  0.6688
Tm  0.5304  0.6673  0.3312
Tm  0.5304  0.8327  0.8312
Tm  0.9528  0.0859  0.3148
Tm  0.9528  0.4141  0.8148
Pb  0.3087  0.0837  0.8303
Pb  0.3087  0.4163  0.3303
Pb  0.6913  0.5837  0.6697
Pb  0.6913  0.9163  0.1697

Calculated values
D(E_F)   1.35 states/eV/atom
E   -4.597 eV/atom

The following is a PBE-GGA calculation of a relaxed structure of SbTe2Ru, from Alexandria via LeMat-Bulk.

a = 4.9441 Å, b = 4.9441 Å, c = 6.6746 Å
α = 109.63°, β = 109.63°, γ = 46.27°
Element x y z (fractional)
Sb  0.0000  0.0000  0.0000
Te  0.6736  0.6736  0.6879
Te  0.8508  0.8508  0.3149
Ru  0.2911  0.2911  0.9961

Calculated values
D(E_F)   0.73 states/eV/atom
Formation energy (no corrections)   -8 meV per atom

The following is a PBE-GGA calculation of a relaxed structure of SrSbTeO2, from Alexandria via LeMat-Bulk.

a = 8.1253 Å, b = 8.1253 Å, c = 5.4441 Å
α = 90.00°, β = 90.00°, γ = 139.58°
Element x y z (fractional)
Sr  0.0958  0.9042  0.7500
Sr  0.9042  0.0958  0.2500
Sb  0.4360  0.5640  0.7500
Sb  0.5640  0.4360  0.2500
Te  0.2488  0.7512  0.2500
Te  0.7512  0.2488  0.7500
O  0.2713  0.2713  0.0000
O  0.2713  0.2713  0.5000
O  0.7287  0.7287  0.0000
O  0.7287  0.7287  0.5000

Calculated values
D(E_F)   0.23 states/eV/atom
Formation energy (no corrections)   -1618 meV per atom

The following is a PBE-GGA calculation of a relaxed structure of Cs2K2Sb, from Alexandria via LeMat-Bulk.

a = 9.6259 Å, b = 9.6259 Å, c = 6.9873 Å
α = 90.00°, β = 90.00°, γ = 90.00°
Element x y z (fractional)
Cs  0.1427  0.3573  0.0000
Cs  0.3573  0.8573  0.0000
Cs  0.6427  0.1427  0.0000
Cs  0.8573  0.6427  0.0000
K  0.1994  0.6994  0.5000
K  0.3006  0.1994  0.5000
K  0.6994  0.8006  0.5000
K  0.8006  0.3006  0.5000
Sb  0.0000  0.0000  0.0000
Sb  0.5000  0.5000  0.0000

Calculated values
E above lowest polymorph   0.222 eV per atom
D(E_F)   0.67 states/eV/atom
Formation energy (no corrections)   -21 meV per atom

The following is a PBE-GGA calculation of a relaxed structure of GdErTmPu, from Alexandria via LeMat-Bulk.

a = 5.5570 Å, b = 5.5570 Å, c = 5.5570 Å
α = 60.00°, β = 60.00°, γ = 60.00°
Element x y z (fractional)
Gd  0.0000  0.0000  0.0000
Er  0.2500  0.2500  0.2500
Tm  0.7500  0.7500  0.7500
Pu  0.5000  0.5000  0.5000

Calculated values
D(E_F)   2.66 states/eV/atom
E   -9.184 eV/atom